Entry from Alexandria: BeInSi2 after structural relaxation (PBE).

Lattice parameters (Å, degrees): 7.2278 3.6223 6.1486 90.00 114.27 90.00
Atoms (fractional coordinates):
1 Be 0.0000 0.0000 0.0000
2 Be 0.5000 0.5000 0.0000
3 In 0.3342 0.0000 0.5555
4 In 0.8342 0.5000 0.5555
5 Si 0.0406 0.5000 0.2568
6 Si 0.1824 0.5000 0.9689
7 Si 0.5406 0.0000 0.2568
8 Si 0.6824 0.0000 0.9689

formation energy (no corrections): 1.4 eV/f.u.
V: 147 Å³ per cell
N(E_F): 0.67 states/eV/f.u.
energy above the lowest structure with this stoichiometry: 0 meV per atom

=====

Entry from Alexandria: Be2InSi after structural relaxation (PBE).

Lattice parameters (Å, degrees): 2.6218 3.4415 6.8056 90.00 90.00 90.00
Atoms (fractional coordinates):
1 Be 0.0000 0.0000 0.0000
2 Be 0.5000 0.5000 0.1548
3 In 0.0000 0.0000 0.4276
4 Si 0.5000 0.5000 0.8217

formation energy (no corrections): 1.9 eV/f.u.
V: 61 Å³ per cell
N(E_F): 0.92 states/eV/f.u.
energy above the lowest structure with this stoichiometry: 238 meV per atom

=====

Entry from Alexandria: BeInSi2 after structural relaxation (PBE).

Lattice parameters (Å, degrees): 4.6514 4.6514 14.2102 90.00 90.00 90.00
Atoms (fractional coordinates):
1 Be 0.0000 0.0000 0.0000
2 Be 0.0000 0.5000 0.2500
3 Be 0.5000 0.0000 0.7500
4 Be 0.5000 0.5000 0.5000
5 In 0.0000 0.0000 0.5000
6 In 0.0000 0.5000 0.7500
7 In 0.5000 0.0000 0.2500
8 In 0.5000 0.5000 0.0000
9 Si 0.1297 0.2500 0.1250
10 Si 0.2500 0.6297 0.3750
11 Si 0.2500 0.8703 0.8750
12 Si 0.3703 0.2500 0.6250
13 Si 0.6297 0.7500 0.6250
14 Si 0.7500 0.1297 0.8750
15 Si 0.7500 0.3703 0.3750
16 Si 0.8703 0.7500 0.1250

formation energy (no corrections): 1.5 eV/f.u.
V: 307 Å³ per cell
N(E_F): 1.48 states/eV/f.u.
energy above the lowest structure with this stoichiometry: 26 meV per atom

=====

Entry from Alexandria: Be3InSi after structural relaxation (PBE).

Lattice parameters (Å, degrees): 4.5135 4.5135 4.5135 90.00 90.00 90.00
Atoms (fractional coordinates):
1 Be 0.0000 0.0000 0.5000
2 Be 0.0000 0.5000 0.0000
3 Be 0.5000 0.0000 0.0000
4 In 0.0000 0.0000 0.0000
5 Si 0.5000 0.5000 0.5000

formation energy (no corrections): 7.1 eV/f.u.
V: 92 Å³ per cell
N(E_F): 2.46 states/eV/f.u.
energy above the lowest structure with this stoichiometry: 624 meV per atom